(a)
A geometry-optimized CdH2Pb structure. Source: Alexandria via LeMat-Bulk, functional PBE.

Values from the calculation:
The total magnetization is 0.0 μB per formula unit. As for the symmetry: I-42d (122).

a b c (Å): 4.979 4.979 10.964
angles (deg): 90.00 90.00 90.00
Fractional coordinates of all 16 atoms:
Cd (0.000, 0.000, 0.000)
Cd (0.000, 0.500, 0.250)
Cd (0.500, 0.000, 0.750)
Cd (0.500, 0.500, 0.500)
H (0.127, 0.250, 0.125)
H (0.250, 0.627, 0.375)
H (0.250, 0.873, 0.875)
H (0.373, 0.250, 0.625)
H (0.627, 0.750, 0.625)
H (0.750, 0.127, 0.875)
H (0.750, 0.373, 0.375)
H (0.873, 0.750, 0.125)
Pb (0.000, 0.000, 0.500)
Pb (0.000, 0.500, 0.750)
Pb (0.500, 0.000, 0.250)
Pb (0.500, 0.500, 0.000)

---

(b)
A geometry-optimized CdH2Pb structure. Source: Alexandria via LeMat-Bulk, functional PBE.

Values from the calculation:
The total magnetization is 0.0 μB per formula unit. As for the symmetry: R3m (160).

a b c (Å): 3.445 3.445 19.124
angles (deg): 90.00 90.00 120.00
Fractional coordinates of all 12 atoms:
Cd (0.000, 0.000, 0.000)
Cd (0.333, 0.667, 0.667)
Cd (0.667, 0.333, 0.333)
H (0.000, 0.000, 0.362)
H (0.000, 0.000, 0.588)
H (0.333, 0.667, 0.029)
H (0.333, 0.667, 0.255)
H (0.667, 0.333, 0.695)
H (0.667, 0.333, 0.921)
Pb (0.000, 0.000, 0.839)
Pb (0.333, 0.667, 0.506)
Pb (0.667, 0.333, 0.172)

---

(c)
A geometry-optimized CdH2Pb structure. Source: Alexandria via LeMat-Bulk, functional PBE.

Values from the calculation:
The total magnetization is 0.0 μB per formula unit. As for the symmetry: Fm-3m (225).

a b c (Å): 6.305 6.305 6.305
angles (deg): 90.00 90.00 90.00
Fractional coordinates of all 16 atoms:
Cd (0.000, 0.000, 0.000)
Cd (0.000, 0.500, 0.500)
Cd (0.500, 0.000, 0.500)
Cd (0.500, 0.500, 0.000)
H (0.250, 0.250, 0.250)
H (0.250, 0.250, 0.750)
H (0.250, 0.750, 0.250)
H (0.250, 0.750, 0.750)
H (0.750, 0.250, 0.250)
H (0.750, 0.250, 0.750)
H (0.750, 0.750, 0.250)
H (0.750, 0.750, 0.750)
Pb (0.000, 0.000, 0.500)
Pb (0.000, 0.500, 0.000)
Pb (0.500, 0.000, 0.000)
Pb (0.500, 0.500, 0.500)

---

In order of decreasing stability: (a), (b), (c).